(1)
VASP calculation (GGA-PBE) on a relaxed ScWSe3 crystal.

Lattice parameters (Å, degrees): 5.0532 5.0532 5.0532 90.00 90.00 90.00
With the nearest neighbours (Å) after each atom.
Atoms (fractional coordinates):
Se 0.0000 0.5000 0.0000  2 Sc 2.53
Se 0.0000 0.0000 0.5000  2 Sc 2.53
Se 0.5000 0.0000 0.0000  2 Sc 2.53
Sc 0.0000 0.0000 0.0000  6 Se 2.53
W 0.5000 0.5000 0.5000  12 Se 3.57

The uncorrected formation energy is 570 meV/atom. The space group is Pm-3m (221). As for the total DFT energy (no corrections): -5.38 eV per atom.

***

(2)
VASP calculation (GGA-PBE) on a relaxed Sc2WSe crystal.

Lattice parameters (Å, degrees): 8.3338 8.3338 8.3338 23.18 23.18 23.18
With the nearest neighbours (Å) after each atom.
Atoms (fractional coordinates):
Sc 0.9946 0.9946 0.9946  3 Se 2.71, 3 W 2.90
Sc 0.5054 0.5054 0.5054  3 Se 2.71, 3 W 2.90
Se 0.2500 0.2500 0.2500  6 Sc 2.71
W 0.7500 0.7500 0.7500  6 Sc 2.90

The uncorrected formation energy is -343 meV/atom. The space group is R-3m (166). As for the total DFT energy (no corrections): -7.62 eV per atom.

***

(3)
VASP calculation (GGA-PBE) on a relaxed Sc2WSe crystal.

Lattice parameters (Å, degrees): 5.2064 5.2064 5.2064 138.42 126.05 70.33
With the nearest neighbours (Å) after each atom.
Atoms (fractional coordinates):
W 0.2500 0.7500 0.5000  8 Sc 2.87-3.14, 4 Se 3.00
Sc 0.5073 0.5073 0.0000  2 Se 2.77, 2 W 2.87, 4 Sc 3.00
Sc 0.9927 0.9927 0.0000  2 Se 2.77, 2 W 2.87, 4 Sc 3.00
Se 0.7500 0.2500 0.5000  4 Sc 2.77, 4 W 3.00

The uncorrected formation energy is -6 meV/atom. The space group is Immm (71). As for the total DFT energy (no corrections): -7.28 eV per atom.

***

(4)
VASP calculation (GGA-PBE) on a relaxed Sc3WSe crystal.

Lattice parameters (Å, degrees): 5.0735 5.0735 5.0735 90.00 90.00 90.00
With the nearest neighbours (Å) after each atom.
Atoms (fractional coordinates):
Sc 0.0000 0.5000 0.0000  2 W 2.54
Sc 0.5000 0.0000 0.0000  2 W 2.54
Sc 0.0000 0.0000 0.5000  2 W 2.54
Se 0.5000 0.5000 0.5000  12 Sc 3.59
W 0.0000 0.0000 0.0000  6 Sc 2.54

The uncorrected formation energy is 441 meV/atom. The space group is Pm-3m (221). As for the total DFT energy (no corrections): -6.65 eV per atom.

***

(5)
VASP calculation (GGA-PBE) on a relaxed ScWSe3 crystal.

Lattice parameters (Å, degrees): 4.9407 4.9407 4.9407 90.00 90.00 90.00
With the nearest neighbours (Å) after each atom.
Atoms (fractional coordinates):
W 0.0000 0.0000 0.0000  6 Se 2.47
Sc 0.5000 0.5000 0.5000  12 Se 3.49
Se 0.5000 0.0000 0.0000  2 W 2.47
Se 0.0000 0.5000 0.0000  2 W 2.47
Se 0.0000 0.0000 0.5000  2 W 2.47

The uncorrected formation energy is 46 meV/atom. The space group is Pm-3m (221). As for the total DFT energy (no corrections): -5.90 eV per atom.

***

(6)
VASP calculation (GGA-PBE) on a relaxed Sc3WSe crystal.

Lattice parameters (Å, degrees): 4.8764 4.8764 4.8764 90.00 90.00 90.00
With the nearest neighbours (Å) after each atom.
Atoms (fractional coordinates):
Sc 0.0000 0.0000 0.5000  2 Se 2.44
Sc 0.5000 0.0000 0.0000  2 Se 2.44
Sc 0.0000 0.5000 0.0000  2 Se 2.44
Se 0.0000 0.0000 0.0000  6 Sc 2.44
W 0.5000 0.5000 0.5000  12 Sc 3.45

The uncorrected formation energy is 280 meV/atom. The space group is Pm-3m (221). As for the total DFT energy (no corrections): -6.81 eV per atom.

***

(7)
VASP calculation (GGA-PBE) on a relaxed Sc2WSe crystal.

Lattice parameters (Å, degrees): 9.0550 9.0550 9.0550 20.75 20.75 20.75
With the nearest neighbours (Å) after each atom.
Atoms (fractional coordinates):
Sc 0.0079 0.0079 0.0079  3 W 2.95, 9 Sc 3.26-3.28
Sc 0.2403 0.2403 0.2403  3 Se 2.88
W 0.7602 0.7602 0.7602  3 Se 2.55
Se 0.4916 0.4916 0.4916  3 W 2.55

The uncorrected formation energy is -14 meV/atom. The space group is R3m (160). As for the total DFT energy (no corrections): -7.29 eV per atom.

***

(8)
VASP calculation (GGA-PBE) on a relaxed Sc2WSe crystal.

Lattice parameters (Å, degrees): 4.4214 3.4541 5.3450 71.21 90.00 90.00
With the nearest neighbours (Å) after each atom.
Atoms (fractional coordinates):
Sc 0.5000 0.2727 0.3286  3 W 2.74-2.90, 4 Se 2.90
Sc 0.0000 0.9830 0.9099  3 Se 2.80-2.85, 4 W 2.87
W 0.5000 0.5441 0.7880  2 Se 2.72, 7 Sc 2.74-2.90
Se 0.0000 0.7002 0.4735  2 W 2.72, 7 Sc 2.80-2.90

The uncorrected formation energy is -306 meV/atom. The space group is Amm2 (38). As for the total DFT energy (no corrections): -7.58 eV per atom.

***

(9)
VASP calculation (GGA-PBE) on a relaxed Sc2W2Se crystal.

Lattice parameters (Å, degrees): 3.6083 3.6083 8.4787 77.71 77.71 90.00
With the nearest neighbours (Å) after each atom.
Atoms (fractional coordinates):
Sc 0.3962 0.3962 0.2076  4 W 2.97, 4 Se 3.05
Sc 0.6038 0.6038 0.7924  4 W 2.97, 4 Se 3.05
W 0.7500 0.2500 0.5000  4 W 2.55
W 0.2500 0.7500 0.5000  4 W 2.55
Se 0.0000 0.0000 0.0000  8 Sc 3.05

The uncorrected formation energy is -102 meV/atom. The space group is I4/mmm (139). As for the total DFT energy (no corrections): -8.51 eV per atom.

***

(10)
VASP calculation (GGA-PBE) on a relaxed Sc2W2Se crystal.

Lattice parameters (Å, degrees): 7.0647 7.0647 4.2859 90.00 90.00 90.00
With the nearest neighbours (Å) after each atom.
Atoms (fractional coordinates):
W 0.6135 0.8865 0.5000  1 W 2.27
W 0.8865 0.3865 0.5000  1 W 2.27
W 0.1135 0.6135 0.5000  1 W 2.27
W 0.3865 0.1135 0.5000  1 W 2.27
Sc 0.6622 0.1622 0.0000  2 Se 2.65, 4 W 2.92
Sc 0.1622 0.3378 0.0000  2 Se 2.65, 4 W 2.92
Sc 0.3378 0.8378 0.0000  2 Se 2.65, 4 W 2.92
Sc 0.8378 0.6622 0.0000  2 Se 2.65, 4 W 2.92
Se 0.5000 0.5000 0.0000  4 Sc 2.65
Se 0.0000 0.0000 0.0000  4 Sc 2.65

The uncorrected formation energy is 406 meV/atom. The space group is P4/mbm (127). As for the total DFT energy (no corrections): -8.00 eV per atom.

***

(11)
VASP calculation (GGA-PBE) on a relaxed Sc2WSe crystal.

Lattice parameters (Å, degrees): 3.2044 3.2044 7.8177 90.00 90.00 90.00
With the nearest neighbours (Å) after each atom.
Atoms (fractional coordinates):
W 0.5000 0.5000 0.7064  4 Se 2.61
Sc 0.0000 0.0000 0.9596  4 W 3.01, 4 Sc 3.20, 1 Se 3.28
Sc 0.5000 0.5000 0.2935  4 Se 2.98, 4 Sc 3.20, 1 W 3.23
Se 0.0000 0.0000 0.5405  4 W 2.61

The uncorrected formation energy is -56 meV/atom. The space group is P4mm (99). As for the total DFT energy (no corrections): -7.33 eV per atom.

***

(12)
VASP calculation (GGA-PBE) on a relaxed Sc4WSe crystal.

Lattice parameters (Å, degrees): 5.6246 5.6246 5.6246 60.00 60.00 60.00
With the nearest neighbours (Å) after each atom.
Atoms (fractional coordinates):
Sc 0.3719 0.8843 0.3719  6 Sc 2.74-2.88
Sc 0.8843 0.3719 0.3719  6 Sc 2.74-2.88
Sc 0.3719 0.3719 0.8843  6 Sc 2.74-2.88
Sc 0.3719 0.3719 0.3719  6 Sc 2.74-2.88
Se 0.7500 0.7500 0.7500  12 Sc 3.31, 4 W 3.44
W 0.0000 0.0000 0.0000  12 Sc 3.29, 4 Se 3.44

The uncorrected formation energy is 539 meV/atom. The space group is F-43m (216). As for the total DFT energy (no corrections): -6.42 eV per atom.

***

Question: Among the records above, which one has the lowest total DFT energy (no corrections)?
Answer: number 9

***

What did the fourth record say?
VASP calculation (GGA-PBE) on a relaxed Sc3WSe crystal.

Lattice parameters (Å, degrees): 5.0735 5.0735 5.0735 90.00 90.00 90.00
With the nearest neighbours (Å) after each atom.
Atoms (fractional coordinates):
Sc 0.0000 0.5000 0.0000  2 W 2.54
Sc 0.5000 0.0000 0.0000  2 W 2.54
Sc 0.0000 0.0000 0.5000  2 W 2.54
Se 0.5000 0.5000 0.5000  12 Sc 3.59
W 0.0000 0.0000 0.0000  6 Sc 2.54

The uncorrected formation energy is 441 meV/atom. The space group is Pm-3m (221). As for the total DFT energy (no corrections): -6.65 eV per atom.

***

Question: Which value of uncorrected formation energy does entry 4 give?
Answer: 441 meV/atom

***

Repeat the ninth record exactly.
VASP calculation (GGA-PBE) on a relaxed Sc2W2Se crystal.

Lattice parameters (Å, degrees): 3.6083 3.6083 8.4787 77.71 77.71 90.00
With the nearest neighbours (Å) after each atom.
Atoms (fractional coordinates):
Sc 0.3962 0.3962 0.2076  4 W 2.97, 4 Se 3.05
Sc 0.6038 0.6038 0.7924  4 W 2.97, 4 Se 3.05
W 0.7500 0.2500 0.5000  4 W 2.55
W 0.2500 0.7500 0.5000  4 W 2.55
Se 0.0000 0.0000 0.0000  8 Sc 3.05

The uncorrected formation energy is -102 meV/atom. The space group is I4/mmm (139). As for the total DFT energy (no corrections): -8.51 eV per atom.